# Pu2Ga4Ag3, optimized geometry, DFT GGA-PBE
data_Pu2Ga4Ag3
_space_group_name_H-M_alt 'C m c e'
_space_group_IT_number 64
_space_group_name_Hall '-C 2ac 2'
_cell_length_a 5.7943
_cell_length_b 15.9977
_cell_length_c 7.8137
_cell_angle_alpha 90.00
_cell_angle_beta 90.00
_cell_angle_gamma 90.00
loop_
_atom_site_label
_atom_site_type_symbol
_atom_site_fract_x
_atom_site_fract_y
_atom_site_fract_z
Pu1 Pu 0.0000 0.0969 0.1039
Ga1 Ga 0.0000 0.1729 0.4810
Ga2 Ga 0.2500 0.0675 0.7500
Ag1 Ag 0.0000 0.0000 0.5000
Ag2 Ag 0.2500 0.2335 0.7500
# - Energy: -5.6621 eV per atom
# - Size of the total moment: 1.286 μB per atom

=====

# Pu2Ga6SiAg, optimized geometry, DFT GGA-PBE
data_Pu2Ga6SiAg
_space_group_name_H-M_alt 'P m m n'
_space_group_IT_number 59
_cell_length_a 5.5048
_cell_length_b 8.0540
_cell_length_c 9.3960
_cell_angle_alpha 90.00
_cell_angle_beta 90.00
_cell_angle_gamma 90.00
loop_
_space_group_symop_operation_xyz
'x,y,z'
'-x,-y,-z'
'-x+1/2,-y+1/2,z'
'x+1/2,y+1/2,-z'
'x+1/2,-y,-z'
'-x+1/2,y,z'
'-x,y+1/2,-z'
'x,-y+1/2,z'
loop_
_atom_site_label
_atom_site_type_symbol
_atom_site_fract_x
_atom_site_fract_y
_atom_site_fract_z
Pu1 Pu 0.2500 0.0270 0.2451
Ga1 Ga 0.0015 0.7500 0.4802
Ga2 Ga 0.0092 0.7500 0.0047
Ga3 Ga 0.2500 0.5135 0.6063
Si1 Si 0.2500 0.7500 0.7809
Ag1 Ag 0.2500 0.2500 0.7723
# - Formation energy (no corrections): -0.06 eV per atom
# - Energy: -5.5690 eV per atom
# - Size of the total moment: 1.141 μB per atom

=====

# TbPuGaAg, optimized geometry, DFT GGA-PBE
data_TbPuGaAg
_space_group_name_H-M_alt 'F -4 3 m'
_space_group_IT_number 216
_space_group_name_Hall 'F -4 2 3'
_cell_length_a 7.2747
_cell_length_b 7.2747
_cell_length_c 7.2747
_cell_angle_alpha 90.00
_cell_angle_beta 90.00
_cell_angle_gamma 90.00
loop_
_atom_site_label
_atom_site_type_symbol
_atom_site_fract_x
_atom_site_fract_y
_atom_site_fract_z
Tb1 Tb 0.0000 0.0000 0.0000
Pu1 Pu 0.0000 0.0000 0.5000
Ga1 Ga 0.2500 0.2500 0.2500
Ag1 Ag 0.2500 0.2500 0.7500
# - Energy: -6.4374 eV per atom
# - Size of the total moment: 1.431 μB per atom

=====

# PuTlGaAg, optimized geometry, DFT GGA-PBE
data_PuTlGaAg
_space_group_name_H-M_alt 'F -4 3 m'
_space_group_IT_number 216
_space_group_name_Hall 'F -4 2 3'
_cell_length_a 7.1349
_cell_length_b 7.1349
_cell_length_c 7.1349
_cell_angle_alpha 90.00
_cell_angle_beta 90.00
_cell_angle_gamma 90.00
loop_
_atom_site_label
_atom_site_type_symbol
_atom_site_fract_x
_atom_site_fract_y
_atom_site_fract_z
Pu1 Pu 0.0000 0.0000 0.0000
Tl1 Tl 0.2500 0.2500 0.2500
Ga1 Ga 0.2500 0.2500 0.7500
Ag1 Ag 0.0000 0.0000 0.5000
# - Energy: -5.6769 eV per atom
# - Size of the total moment: 1.397 μB per atom